# 1
IrPbN2 | PBE-GGA | relaxed

Geometry as POSCAR:
```
IrPbN2
1.0
1.858 0.000 6.719
-0.929 1.609 6.719
-0.929 -1.609 6.719
Pb Ir N
1 1 2
Direct
0.000 0.000 0.000
0.500 0.500 0.500
0.879 0.879 0.879
0.121 0.121 0.121
```

Computed properties:
- E (eV per formula unit) = -26.36
- symmetry = No. 166
- formation energy from raw total energies (eV/f.u.) = 2.86

---

# 2
IrPbSN2 | PBE-GGA | relaxed

Geometry as POSCAR:
```
IrPbSN2
1.0
-2.260 3.008 1.095
-1.665 0.040 -3.547
-3.655 -3.357 1.677
Pb N Ir S
1 2 1 1
Direct
0.500 0.500 0.500
0.000 0.500 0.000
0.500 0.000 0.000
0.000 0.000 0.000
0.000 0.000 0.500
```

Computed properties:
- E (eV per formula unit) = -29.95
- symmetry = No. 123
- formation energy from raw total energies (eV/f.u.) = 3.40

---

# 3
IrPbSN2 | PBE-GGA | relaxed

Geometry as POSCAR:
```
IrPbSN2
1.0
4.154 0.000 0.000
0.000 4.154 0.000
0.000 0.000 5.506
Pb Ir N S
1 1 2 1
Direct
0.000 0.000 0.000
0.500 0.500 0.500
0.000 0.500 0.000
0.500 0.000 0.000
0.000 0.000 0.500
```

Computed properties:
- E (eV per formula unit) = -21.35
- symmetry = No. 123
- formation energy from raw total energies (eV/f.u.) = 12.00

---

# 4
IrPbSe2N | PBE-GGA | relaxed

Geometry as POSCAR:
```
IrPbSe2N
1.0
5.287 0.000 0.000
0.000 5.287 0.000
0.000 0.000 3.713
Pb Se N Ir
1 2 1 1
Direct
0.500 0.500 0.500
0.000 0.500 0.000
0.500 0.000 0.000
0.000 0.000 0.500
0.000 0.000 0.000
```

Computed properties:
- E (eV per formula unit) = -27.28
- symmetry = No. 123
- formation energy from raw total energies (eV/f.u.) = 0.58

---

# 5
IrPbSe2N | PBE-GGA | relaxed

Geometry as POSCAR:
```
IrPbSe2N
1.0
5.396 0.000 0.000
0.000 5.396 0.000
0.000 0.000 4.106
Se Ir N Pb
2 1 1 1
Direct
0.000 0.500 0.000
0.500 0.000 0.000
0.500 0.500 0.500
0.000 0.000 0.500
0.000 0.000 0.000
```

Computed properties:
- E (eV per formula unit) = -18.40
- symmetry = No. 123
- formation energy from raw total energies (eV/f.u.) = 9.46

---

# 6
IrPbSeN2 | PBE-GGA | relaxed

Geometry as POSCAR:
```
IrPbSeN2
1.0
4.209 0.000 0.000
0.000 4.209 0.000
0.000 0.000 5.740
N Ir Se Pb
2 1 1 1
Direct
0.000 0.500 0.000
0.500 0.000 0.000
0.500 0.500 0.500
0.000 0.000 0.500
0.000 0.000 0.000
```

Computed properties:
- E (eV per formula unit) = -21.20
- symmetry = No. 123
- formation energy from raw total energies (eV/f.u.) = 11.50

---

# 7
Si2IrPbN | PBE-GGA | relaxed

Geometry as POSCAR:
```
Si2IrPbN
1.0
-0.752 -4.350 0.699
4.233 -1.299 -3.530
2.872 0.054 3.424
N Pb Ir Si
1 1 1 2
Direct
0.500 0.500 0.500
0.000 0.500 0.000
0.000 0.000 0.000
0.500 0.000 0.000
0.000 0.000 0.500
```

Computed properties:
- E (eV per formula unit) = -26.22
- symmetry = No. 123
- formation energy from raw total energies (eV/f.u.) = 5.52

---

# 8
Sr2IrPbN | PBE-GGA | relaxed

Geometry as POSCAR:
```
Sr2IrPbN
1.0
-5.121 1.754 1.808
-2.292 -1.545 -4.993
-0.695 -3.459 1.389
Sr N Pb Ir
2 1 1 1
Direct
0.500 0.000 0.000
0.000 0.500 0.000
0.000 0.000 0.000
0.500 0.500 0.500
0.000 0.000 0.500
```

Computed properties:
- E (eV per formula unit) = -26.75
- symmetry = No. 123
- formation energy from raw total energies (eV/f.u.) = -2.49

---

# 9
TeIrPbN2 | PBE-GGA | relaxed

Geometry as POSCAR:
```
TeIrPbN2
1.0
4.065 0.000 0.000
0.000 4.065 0.000
0.000 0.000 5.654
N Pb Ir Te
2 1 1 1
Direct
0.000 0.500 0.000
0.500 0.000 0.000
0.500 0.500 0.500
0.000 0.000 0.000
0.000 0.000 0.500
```

Computed properties:
- E (eV per formula unit) = -27.25
- symmetry = No. 123
- formation energy from raw total energies (eV/f.u.) = 5.11

---

# 10
TeIrPbN2 | PBE-GGA | relaxed

Geometry as POSCAR:
```
TeIrPbN2
1.0
4.173 0.000 0.000
0.000 4.173 0.000
0.000 0.000 6.497
Te N Pb Ir
1 2 1 1
Direct
0.000 0.000 0.500
0.500 0.000 0.000
0.000 0.500 0.000
0.000 0.000 0.000
0.500 0.500 0.500
```

Computed properties:
- E (eV per formula unit) = -21.48
- symmetry = No. 123
- formation energy from raw total energies (eV/f.u.) = 10.88

---

# 11
Ir2PdN | PBE-GGA | relaxed

Geometry as POSCAR:
```
Ir2PdN
1.0
6.206 0.000 0.000
0.000 6.206 0.000
3.103 3.103 2.963
N Ir Pd
2 4 2
Direct
0.500 0.500 0.000
0.250 0.750 0.500
0.234 0.625 0.250
0.875 0.766 0.750
0.375 0.484 0.750
0.516 0.125 0.250
0.750 0.250 0.500
0.000 0.000 0.000
```

Computed properties:
- E (eV per formula unit) = -29.04
- symmetry = No. 122
- formation energy from raw total energies (eV/f.u.) = 2.20

---

# 12
IrPdN3 | PBE-GGA | relaxed

Geometry as POSCAR:
```
IrPdN3
1.0
-0.817 -3.283 -1.863
0.518 -1.985 3.271
-3.739 0.442 0.861
N Ir Pd
3 1 1
Direct
0.500 0.000 0.000
0.000 0.000 0.500
0.000 0.500 0.000
0.000 0.000 0.000
0.500 0.500 0.500
```

Computed properties:
- E (eV per formula unit) = -31.07
- symmetry = No. 221
- formation energy from raw total energies (eV/f.u.) = 7.96